# 1
This record from OQMD via LeMat-Bulk describes an optimized crystal structure of Ag2HgGeTe2Se2. The functional is PBE.

- Calculated total energy: -3.136 eV/atom

a = 7.5889 Å, b = 7.5889 Å, c = 6.2469 Å
α = 113.45°, β = 113.45°, γ = 48.70°
With the nearest neighbours (Å) after each atom.
Fractional coordinates of all 8 atoms:
Hg (0.4940, 0.5060, 0.5000)  2 Se 2.79, 2 Te 2.89
Ge (0.0183, 0.9817, 0.0000)  2 Se 2.44, 2 Te 2.66
Ag (0.2422, 0.2567, 0.7747)  2 Se 2.67, 2 Te 2.78
Se (0.3490, 0.8880, 0.8876)  1 Ge 2.44, 2 Ag 2.67
Te (0.6417, 0.1005, 0.6438)  1 Ge 2.66, 2 Ag 2.78, 1 Hg 2.89
Se (0.1120, 0.6510, 0.1124)  1 Ge 2.44, 2 Ag 2.67
Te (0.8995, 0.3583, 0.3562)  1 Ge 2.66, 2 Ag 2.78, 1 Hg 2.89
Ag (0.7433, 0.7578, 0.2253)  2 Se 2.67, 2 Te 2.78

***

# 2
This record from OQMD via LeMat-Bulk describes an optimized crystal structure of Ag2HgGeTe2Se2. The functional is PBE.

- Calculated total energy: -3.130 eV/atom

a = 7.6116 Å, b = 7.5683 Å, c = 6.2873 Å
α = 65.89°, β = 65.17°, γ = 48.93°
With the nearest neighbours (Å) after each atom.
Fractional coordinates of all 8 atoms:
Te (0.3531, 0.8915, 0.1085)  1 Ge 2.64, 2 Ag 2.78, 1 Hg 2.85
Ag (0.2596, 0.2596, 0.2404)  2 Se 2.66, 2 Te 2.78
Se (0.1011, 0.6480, 0.8989)  1 Ge 2.44, 2 Ag 2.66
Hg (0.4985, 0.4985, 0.5015)  2 Se 2.85, 2 Te 2.85
Se (0.6480, 0.1011, 0.3520)  1 Ge 2.44, 2 Ag 2.66
Ge (0.9886, 0.9886, 0.0114)  2 Se 2.44, 2 Te 2.64
Te (0.8915, 0.3531, 0.6469)  1 Ge 2.64, 2 Ag 2.78, 1 Hg 2.85
Ag (0.7596, 0.7596, 0.7404)  2 Se 2.66, 2 Te 2.78

***

# 3
This record from OQMD via LeMat-Bulk describes an optimized crystal structure of Ag2HgGeTeSe3. The functional is PBE.

- Calculated total energy: -3.203 eV/atom

a = 6.1604 Å, b = 6.1604 Å, c = 7.4632 Å
α = 114.27°, β = 114.27°, γ = 89.28°
With the nearest neighbours (Å) after each atom.
Fractional coordinates of all 8 atoms:
Se (0.8865, 0.8865, 0.2318)  1 Ge 2.43, 2 Ag 2.66
Ge (0.9859, 0.9859, 0.9883)  3 Se 2.43, 1 Te 2.64
Ag (0.2447, 0.7715, 0.5104)  3 Se 2.65-2.66, 1 Te 2.77
Te (0.3550, 0.3550, 0.2541)  1 Ge 2.64, 2 Ag 2.77, 1 Hg 2.85
Ag (0.7715, 0.2447, 0.5104)  3 Se 2.65-2.66, 1 Te 2.77
Se (0.6496, 0.1032, 0.7525)  1 Ge 2.43, 2 Ag 2.65
Se (0.1032, 0.6496, 0.7525)  1 Ge 2.43, 2 Ag 2.65
Hg (0.5036, 0.5036, 0.0000)  3 Se 2.75-2.81, 1 Te 2.85